Entry from Alexandria: a geometry-optimized SmHo5Tl2 structure (GGA-PBE).

Unit cell a=8.4073 b=8.4073 c=8.4073 alpha=155.06 beta=103.33 gamma=82.11
With the nearest neighbours (Å) after each atom.
Positions (direct):
Sm: 0.0000 0.0000 0.0000  4 Tl 3.54, 2 Sm 3.63, 8 Ho 3.78
Ho: 0.1389 0.3661 0.7728  3 Tl 3.15-3.39, 5 Ho 3.40-3.49
Ho: 0.4067 0.6339 0.7728  3 Tl 3.15-3.39, 5 Ho 3.40-3.49
Ho: 0.5000 0.0000 0.5000  2 Tl 3.30, 10 Ho 3.43-3.63
Ho: 0.5933 0.3661 0.2272  3 Tl 3.15-3.39, 5 Ho 3.40-3.49
Ho: 0.8611 0.6339 0.2272  3 Tl 3.15-3.39, 5 Ho 3.40-3.49
Tl: 0.2399 0.7399 0.5000  7 Ho 3.15-3.39
Tl: 0.7601 0.2601 0.5000  7 Ho 3.15-3.39

Computed properties:
Energy relative to the elements = -0.120 eV per atom